[1]
VASP calculation (GGA-PBE) on a relaxed structure of Tb4DyN5.

Values from the calculation:
Formation energy (no corrections) = -1.672 eV per atom
SG = No. 79

Geometry as extended XYZ:
```
10
Lattice="4.4497 0.0000 2.1462 2.2248 5.5226 1.0731 -0.1744 0.0000 6.0473" Properties=species:S:1:pos:R:3 pbc="T T T"
N 3.4950 1.1011 4.1304
Tb 3.9777 3.3145 3.1432
Dy 0.0069 0.0000 0.0033
N 3.0089 4.4215 5.1381
Tb 2.5369 2.2081 6.1304
Tb 5.2418 4.4195 6.2081
N 4.7556 2.2019 7.2027
N 2.2271 0.0000 1.0742
N 1.7484 3.3207 2.0658
Tb 1.2728 1.1031 3.0655
```

=====

[2]
VASP calculation (GGA-PBE) on a relaxed structure of Tb2DyN.

Values from the calculation:
Formation energy (no corrections) = -0.654 eV per atom
SG = No. 166

Geometry as extended XYZ:
```
4
Lattice="3.4718 0.0000 0.0000 1.7359 3.0066 0.0000 1.7359 1.0022 9.4565" Properties=species:S:1:pos:R:3 pbc="T T T"
N 3.4718 2.0044 4.7283
Dy 0.0000 0.0000 0.0000
Tb 1.7359 1.0022 6.0597
Tb 5.2076 3.0066 3.3968
```

=====

[3]
VASP calculation (GGA-PBE) on a relaxed structure of TbDy2N3.

Values from the calculation:
Formation energy (no corrections) = -1.691 eV per atom
SG = No. 62

Geometry as extended XYZ:
```
24
Lattice="-4.8222 -0.2982 0.9472 1.3268 -4.1137 5.4603 0.6911 8.4067 6.1656" Properties=species:S:1:pos:R:3 pbc="T T T"
Dy -3.2781 1.3656 2.9349
N -2.8331 1.7400 5.3172
N -2.6016 4.5370 7.3794
Tb -2.8170 6.9657 7.0463
Dy -0.6503 -0.9168 2.7983
N 0.0287 2.2547 7.2558
Dy -3.0479 4.1661 4.9894
Tb -2.3839 2.1084 7.7224
N -0.6367 4.3241 4.5144
Dy 0.4737 2.6291 9.6381
N -2.3997 -3.1142 5.9957
N -2.1677 -0.3294 8.0586
N -3.0606 -1.0646 3.2808
N -0.4047 7.1089 6.5773
Dy -2.1541 4.9115 9.7748
Dy -0.1894 4.6889 6.9102
Dy 0.2435 -0.1713 7.5836
N -1.9378 2.4850 10.1131
N -0.8666 1.5097 2.4599
Dy -2.6149 -0.6942 5.6629
Tb 0.0127 -2.9710 5.5268
Tb -0.4205 1.8864 4.8506
N 0.2562 5.0593 9.2922
N -0.2028 -0.5423 5.1936
```

=====

[4]
VASP calculation (GGA-PBE) on a relaxed structure of TbDyN.

Values from the calculation:
Formation energy (no corrections) = -1.071 eV per atom
SG = No. 59
Energy relative to the lowest polymorph listed for this composition = 0.0000 eV/atom

Geometry as extended XYZ:
```
12
Lattice="-1.7686 1.0099 2.8146 0.8396 -4.4239 2.1149 12.3400 5.1633 5.9013" Properties=species:S:1:pos:R:3 pbc="T T T"
N 10.4310 4.4834 8.1619
Tb 6.6060 2.0079 4.5025
Tb 4.8051 -0.2586 6.3283
Dy 9.9584 3.4112 6.1055
N 4.2610 1.9014 5.2114
Tb 10.9750 2.3234 9.2788
Dy 1.4527 -1.6618 4.7253
Tb 0.4360 -0.5741 1.5520
N 7.1501 -0.1520 5.6194
Dy 7.6224 0.9211 7.6753
N 0.9801 -2.7340 2.6689
Dy 3.7886 0.8282 3.1555
```

=====

[5]
VASP calculation (GGA-PBE) on a relaxed structure of TbDyN.

Values from the calculation:
Formation energy (no corrections) = -1.027 eV per atom
SG = No. 156
Energy relative to the lowest polymorph listed for this composition = 0.0444 eV/atom

Geometry as extended XYZ:
```
3
Lattice="-1.4657 2.5377 1.9202 -1.9486 -1.8310 -2.2639 -1.2637 -4.0021 4.3245" Properties=species:S:1:pos:R:3 pbc="T T T"
Tb -0.1387 -0.4392 0.4745
Dy -2.4883 -2.5938 1.5286
N -2.0510 -0.2625 1.9777
```

=====

[6]
VASP calculation (GGA-PBE) on a relaxed structure of Tb3DyN4.

Values from the calculation:
Formation energy (no corrections) = -1.673 eV per atom
SG = No. 13

Geometry as extended XYZ:
```
16
Lattice="-5.0226 -1.4642 -3.0330 2.3257 -4.9614 2.5583 -3.8081 1.1743 5.7393" Properties=species:S:1:pos:R:3 pbc="T T T"
N -5.2696 -0.9383 4.1476
Tb -3.6362 0.3681 2.8296
Tb -4.9847 -2.8447 2.5923
N 0.3150 -3.2834 4.0687
Tb -1.5203 -2.4065 2.6724
N -3.1501 -3.7213 3.9897
N -3.3548 -1.5299 1.2749
Tb -3.4264 -1.8188 5.5450
Dy -7.1006 -0.0701 2.7496
N -6.6109 -4.1619 3.9172
Dy -1.7301 -0.2198 -0.0432
N 0.1059 -1.0894 1.3474
Tb -5.1945 -0.6580 -0.1233
N -6.8200 -1.9679 1.1960
Tb -3.0786 -3.4325 -0.2804
N -1.2354 -4.3130 1.1170
```

=====

[7]
VASP calculation (GGA-PBE) on a relaxed structure of TbDy5N6.

Values from the calculation:
Formation energy (no corrections) = -1.699 eV per atom
SG = No. 12

Geometry as extended XYZ:
```
12
Lattice="-4.4589 1.5637 3.7345 2.1875 0.6560 5.5727 2.0492 5.3641 1.8185" Properties=species:S:1:pos:R:3 pbc="T T T"
Dy 2.8245 4.0135 4.9274
N -0.5680 0.5562 2.3331
Dy -0.4990 4.4658 4.0086
N -2.4744 3.0199 3.8720
N -1.0640 5.0170 6.3376
N 0.8418 2.5668 4.7881
Dy 1.4122 2.0066 2.4637
Dy -1.1357 1.1099 4.6536
N -1.7034 1.6636 6.9742
N 2.2522 4.5639 7.2537
Tb 0.0000 0.0000 0.0000
Dy 0.2768 3.1181 7.1171
```

=====

[8]
VASP calculation (GGA-PBE) on a relaxed structure of Tb2Dy2N3.

Values from the calculation:
Formation energy (no corrections) = -1.429 eV per atom
SG = No. 12

Geometry as extended XYZ:
```
7
Lattice="-2.4523 -1.5754 1.9403 -3.7655 -0.0297 -4.7833 3.9163 -4.3292 -1.7247" Properties=species:S:1:pos:R:3 pbc="T T T"
N 0.0000 0.0000 0.0000
N -0.8321 -3.3221 -0.5894
N -1.4695 -2.6123 -3.9782
Tb -0.6538 -1.3769 -1.9442
Tb -1.6478 -4.5574 -2.6234
Dy 1.5872 -3.8368 -1.1092
Dy -3.8887 -2.0975 -3.4584
```

=====

- Which formula does entry 3 have?
  TbDy2N3